Density functional theory data (GGA-PBE) for a relaxed Tb7Ho4Tm2 crystal.

## Properties
The formation energy comes out at 0.169 eV/atom.

Lattice parameters (Å, degrees): 6.045 6.045 13.061 90.00 90.00 120.00
Positions (direct):
1 Tb 0.000 0.000 0.000
2 Tb 0.000 0.363 0.217
3 Tb 0.000 0.637 0.783
4 Tb 0.363 0.000 0.217
5 Tb 0.363 0.363 0.783
6 Tb 0.637 0.000 0.783
7 Tb 0.637 0.637 0.217
8 Ho 0.000 0.000 0.392
9 Ho 0.000 0.000 0.608
10 Ho 0.333 0.667 0.500
11 Ho 0.667 0.333 0.500
12 Tm 0.333 0.667 0.000
13 Tm 0.667 0.333 0.000

***

Density functional theory data (GGA-PBE) for a relaxed Tb4HoTm crystal.

## Properties
The formation energy comes out at 0.018 eV/atom. As for the excess energy over the best structure of this formula in the dataset: 0.000 eV per atom.

Lattice parameters (Å, degrees): 3.528 6.124 9.356 77.33 79.25 73.42
Positions (direct):
1 Tb 0.166 0.000 0.167
2 Tb 0.166 0.501 0.666
3 Tb 0.834 0.000 0.833
4 Tb 0.834 0.499 0.334
5 Ho 0.500 0.500 0.000
6 Tm 0.500 0.000 0.500

***

Density functional theory data (GGA-PBE) for a relaxed Tb8HoTm5 crystal.

## Properties
The formation energy comes out at 0.259 eV/atom.

Lattice parameters (Å, degrees): 8.381 8.381 8.381 111.06 111.06 106.35
Positions (direct):
1 Tb 0.079 0.335 0.606
2 Tb 0.163 0.426 0.084
3 Tb 0.342 0.079 0.916
4 Tb 0.526 0.921 0.255
5 Tb 0.574 0.658 0.737
6 Tb 0.665 0.271 0.745
7 Tb 0.729 0.474 0.394
8 Tb 0.921 0.837 0.263
9 Ho 0.250 0.750 0.500
10 Tm 0.036 0.718 0.903
11 Tm 0.282 0.185 0.318
12 Tm 0.500 0.500 0.000
13 Tm 0.815 0.134 0.097
14 Tm 0.866 0.964 0.682

***

Density functional theory data (GGA-PBE) for a relaxed TbHoTm2 crystal.

## Properties
The formation energy comes out at 0.134 eV/atom. As for the excess energy over the best structure of this formula in the dataset: 0.130 eV per atom.

Lattice parameters (Å, degrees): 5.602 5.602 5.602 60.00 60.00 60.00
Positions (direct):
1 Tb 0.000 0.000 0.000
2 Ho 0.500 0.500 0.500
3 Tm 0.250 0.250 0.250
4 Tm 0.750 0.750 0.750

***

Density functional theory data (GGA-PBE) for a relaxed Tb4Ho3Tm2 crystal.

## Properties
The formation energy comes out at 0.100 eV/atom.

Lattice parameters (Å, degrees): 9.875 9.875 6.080 94.80 94.80 71.11
Positions (direct):
1 Tb 0.096 0.812 0.987
2 Tb 0.145 0.432 0.155
3 Tb 0.188 0.904 0.513
4 Tb 0.432 0.145 0.655
5 Tb 0.568 0.855 0.345
6 Tb 0.812 0.096 0.487
7 Tb 0.855 0.568 0.845
8 Tb 0.904 0.188 0.013
9 Ho 0.071 0.264 0.577
10 Ho 0.264 0.071 0.077
11 Ho 0.403 0.597 0.250
12 Ho 0.597 0.403 0.750
13 Ho 0.736 0.929 0.923
14 Ho 0.929 0.736 0.423
15 Tm 0.240 0.521 0.682
16 Tm 0.479 0.760 0.818
17 Tm 0.521 0.240 0.182
18 Tm 0.760 0.479 0.318

***

Density functional theory data (GGA-PBE) for a relaxed Tb4Ho2Tm5 crystal.

## Properties
The formation energy comes out at 0.057 eV/atom. As for the excess energy over the best structure of this formula in the dataset: 0.000 eV per atom.

Lattice parameters (Å, degrees): 10.810 10.810 9.089 102.34 102.34 19.26
Positions (direct):
1 Tb 0.028 0.028 0.202
2 Tb 0.328 0.328 0.583
3 Tb 0.672 0.672 0.417
4 Tb 0.972 0.972 0.798
5 Ho 0.385 0.385 0.995
6 Ho 0.615 0.615 0.005
7 Tm 0.118 0.118 0.694
8 Tm 0.250 0.250 0.170
9 Tm 0.500 0.500 0.500
10 Tm 0.750 0.750 0.830
11 Tm 0.882 0.882 0.306

***

Density functional theory data (GGA-PBE) for a relaxed TbHo4Tm5 crystal.

## Properties
The formation energy comes out at 0.312 eV/atom. As for the excess energy over the best structure of this formula in the dataset: 0.257 eV per atom.

Lattice parameters (Å, degrees): 7.772 7.772 7.772 99.24 99.24 132.76
Positions (direct):
1 Tb 0.000 0.000 0.000
2 Ho 0.180 0.883 0.604
3 Ho 0.279 0.577 0.396
4 Ho 0.577 0.180 0.298
5 Ho 0.883 0.279 0.702
6 Tm 0.459 0.459 0.000
7 Tm 0.495 0.872 0.911
8 Tm 0.584 0.495 0.624
9 Tm 0.872 0.961 0.376
10 Tm 0.961 0.584 0.089

***

Density functional theory data (GGA-PBE) for a relaxed Tb6Ho6Tm crystal.

## Properties
The formation energy comes out at 0.295 eV/atom.

Lattice parameters (Å, degrees): 6.618 6.618 11.281 90.00 90.00 120.00
Positions (direct):
1 Tb 0.000 0.000 0.156
2 Tb 0.000 0.000 0.844
3 Tb 0.333 0.667 0.000
4 Tb 0.333 0.667 0.500
5 Tb 0.667 0.333 0.000
6 Tb 0.667 0.333 0.500
7 Ho 0.000 0.500 0.256
8 Ho 0.000 0.500 0.744
9 Ho 0.500 0.000 0.256
10 Ho 0.500 0.000 0.744
11 Ho 0.500 0.500 0.256
12 Ho 0.500 0.500 0.744
13 Tm 0.000 0.000 0.500

***

Density functional theory data (GGA-PBE) for a relaxed Tb7HoTm4 crystal.

## Properties
The formation energy comes out at -0.002 eV/atom. As for the excess energy over the best structure of this formula in the dataset: 0.000 eV per atom.

Lattice parameters (Å, degrees): 6.163 7.111 8.753 90.00 76.45 89.96
Positions (direct):
1 Tb 0.000 0.000 0.000
2 Tb 0.222 0.500 0.335
3 Tb 0.279 0.751 0.665
4 Tb 0.499 0.248 0.000
5 Tb 0.501 0.752 0.000
6 Tb 0.721 0.249 0.335
7 Tb 0.778 0.500 0.665
8 Ho 0.000 0.500 0.000
9 Tm 0.221 0.000 0.335
10 Tm 0.278 0.249 0.666
11 Tm 0.722 0.751 0.334
12 Tm 0.779 0.000 0.665

***

Density functional theory data (GGA-PBE) for a relaxed Tb6Ho4Tm crystal.

## Properties
The formation energy comes out at 0.305 eV/atom. As for the excess energy over the best structure of this formula in the dataset: 0.176 eV per atom.

Lattice parameters (Å, degrees): 9.670 9.670 9.670 140.64 140.64 56.89
Positions (direct):
1 Tb 0.000 0.500 0.500
2 Tb 0.013 0.639 0.000
3 Tb 0.361 0.361 0.374
4 Tb 0.500 0.000 0.500
5 Tb 0.639 0.013 0.000
6 Tb 0.987 0.987 0.626
7 Ho 0.190 0.190 0.641
8 Ho 0.452 0.810 0.000
9 Ho 0.548 0.548 0.359
10 Ho 0.810 0.452 0.000
11 Tm 0.000 0.000 0.000